1.
DFT (GGA-PBE) results for an optimized crystal structure of TaTl4Au.

The energy relative to the elements comes out at 0.983 eV/atom. The density of states at the Fermi level is 0.7787 states/eV/atom. As for the mass density: 12.241 g/cm3. As for the symmetry: F-43m.

Structure (POSCAR):
```
TaTl4Au
1.0
-1.545 -5.228 -2.784
-5.847 -1.080 -1.455
-1.756 0.058 -5.864
Tl Ta Au
4 1 1
direct
0.375 0.875 0.375 Tl
0.875 0.375 0.375 Tl
0.375 0.375 0.375 Tl
0.375 0.375 0.875 Tl
0.000 0.000 0.000 Ta
0.750 0.750 0.750 Au
```

2.
DFT (GGA-PBE) results for an optimized crystal structure of Ta2TlAu.

The energy relative to the elements comes out at 0.327 eV/atom. The density of states at the Fermi level is 1.3872 states/eV/atom. As for the mass density: 15.824 g/cm3. As for the symmetry: R3m.

Structure (POSCAR):
```
Ta2TlAu
1.0
9.949 -0.058 -0.034
9.492 2.981 -0.034
9.492 1.427 2.618
Ta Tl Au
2 1 1
direct
0.002 0.002 0.002 Ta
0.254 0.254 0.254 Ta
0.499 0.499 0.499 Tl
0.744 0.744 0.744 Au
```

3.
DFT (GGA-PBE) results for an optimized crystal structure of TaTlAu2.

The energy relative to the elements comes out at 0.326 eV/atom. The density of states at the Fermi level is 0.8449 states/eV/atom. As for the mass density: 16.555 g/cm3. As for the symmetry: P2/m.

Structure (POSCAR):
```
TaTlAu2
1.0
-1.039 1.498 2.238
-4.104 -3.335 0.327
-0.085 -5.184 3.430
Ta Au Tl
1 2 1
direct
0.500 0.500 0.500 Ta
0.000 0.000 0.000 Au
0.500 0.500 0.000 Au
0.000 0.000 0.500 Tl
```

Which formula does entry 2 have? Ta2TlAu